Record 1
Compound: PaRuSe
Source: Alexandria via LeMat-Bulk
Functional: GGA-PBE
Structure: relaxed

```
PaRuSe
1.0
3.6661 0.0000 0.0000
0.0000 3.6661 0.0000
-1.8331 -1.8331 4.6277
Ru Se Pa
1 1 1
direct
0.3162 0.3162 0.6324 Ru
0.6052 0.6052 0.2105 Se
0.9286 0.9286 0.8572 Pa
```

Output
Formation energy (no corrections), eV per formula unit: -1.5
Offset from the most stable computed form, meV per atom: 284.8

***

Record 2
Compound: Sm4Y15Mg
Source: Alexandria via LeMat-Bulk
Functional: GGA-PBE
Structure: relaxed

```
Sm4Y15Mg
1.0
-1.0137 -4.7923 -1.2211
4.5343 -1.3982 1.7233
-9.8931 -3.7623 22.9778
Y Sm Mg
15 4 1
direct
0.5000 0.5000 0.8047 Y
0.5000 0.5000 0.3987 Y
0.0000 0.5000 0.9030 Y
0.0000 0.5000 0.2978 Y
0.5000 0.5000 0.1953 Y
0.0000 0.5000 0.0970 Y
0.5000 0.0000 0.7022 Y
0.5000 0.0000 0.2978 Y
0.5000 0.0000 0.5000 Y
0.5000 0.5000 0.0000 Y
0.0000 0.5000 0.7022 Y
0.5000 0.0000 0.9030 Y
0.5000 0.5000 0.6013 Y
0.0000 0.5000 0.5000 Y
0.5000 0.0000 0.0970 Y
0.0000 0.0000 0.3988 Sm
0.0000 0.0000 0.6012 Sm
0.0000 0.0000 0.8024 Sm
0.0000 0.0000 0.1976 Sm
0.0000 0.0000 0.0000 Mg
```

Output
Total energy, eV/atom: -5.85

***

Record 3
Compound: GdZnHgRh
Source: Alexandria via LeMat-Bulk
Functional: GGA-PBE
Structure: relaxed

```
GdZnHgRh
1.0
-3.1790 3.4362 -1.1774
-2.9485 -0.6292 -3.7697
-4.7172 -0.7270 0.7205
Hg Rh Gd Zn
1 1 1 1
direct
0.7500 0.7500 0.7500 Hg
0.2500 0.2500 0.2500 Rh
0.5000 0.5000 0.5000 Gd
0.0000 0.0000 0.0000 Zn
```

Output
Total energy, eV/atom: -6.07

***

Record 4
Compound: Mn2RuS
Source: Alexandria via LeMat-Bulk
Functional: GGA-PBE
Structure: relaxed

```
Mn2RuS
1.0
5.1865 0.0000 0.0000
0.0000 5.1865 0.0000
2.5933 2.5933 4.9043
Mn Ru S
4 2 2
direct
0.8750 0.8558 0.7500 Mn
0.6058 0.1250 0.2500 Mn
0.1442 0.6250 0.2500 Mn
0.3750 0.3942 0.7500 Mn
0.7500 0.2500 0.5000 Ru
0.0000 0.0000 0.0000 Ru
0.2500 0.7500 0.5000 S
0.5000 0.5000 0.0000 S
```

Output
Formation energy (no corrections), eV per formula unit: 1.9

***

Record 5
Compound: CsPaBeSe4
Source: Alexandria via LeMat-Bulk
Functional: GGA-PBE
Structure: relaxed

```
CsPaBeSe4
1.0
-5.6335 1.3287 -2.7371
-1.6302 -6.6306 0.1365
-0.8398 0.4091 9.8454
Se Pa Be Cs
8 2 2 2
direct
0.5563 0.2500 0.4246 Se
0.0176 0.5056 0.6900 Se
0.0176 0.9944 0.6900 Se
0.4050 0.7500 0.1952 Se
0.5950 0.2500 0.8048 Se
0.9824 0.4944 0.3100 Se
0.9824 0.0056 0.3100 Se
0.4437 0.7500 0.5754 Se
0.2354 0.2500 0.5528 Pa
0.7646 0.7500 0.4472 Pa
0.2199 0.7500 0.3484 Be
0.7801 0.2500 0.6516 Be
0.2541 0.2500 0.0524 Cs
0.7459 0.7500 0.9476 Cs
```

Output
Formation energy (no corrections), eV per formula unit: -8.5

***

Record 6
Compound: CuSiSO
Source: Alexandria via LeMat-Bulk
Functional: GGA-PBE
Structure: relaxed

```
CuSiSO
1.0
-1.2446 2.0009 2.5741
-2.6354 -2.2395 0.4665
4.7839 -4.4304 5.7569
O Cu Si S
2 2 2 2
direct
0.5000 0.5000 0.0000 O
0.0000 0.0000 0.0000 O
0.5000 0.5000 0.5000 Cu
0.0000 0.0000 0.5000 Cu
0.0000 0.5000 0.1117 Si
0.5000 0.0000 0.8883 Si
0.5000 0.0000 0.3247 S
0.0000 0.5000 0.6753 S
```

Output
Formation energy (no corrections), eV per formula unit: -2.2
Offset from the most stable computed form, meV per atom: 540.1

***

Record 7
Compound: UPaBiSb
Source: Alexandria via LeMat-Bulk
Functional: GGA-PBE
Structure: relaxed

```
UPaBiSb
1.0
5.3676 0.0000 0.0000
2.6838 4.6485 0.0000
2.6838 1.5495 4.3826
Pa U Bi Sb
1 1 1 1
direct
0.0000 0.0000 0.0000 Pa
0.5000 0.5000 0.5000 U
0.2500 0.2500 0.2500 Bi
0.7500 0.7500 0.7500 Sb
```

Output
Formation energy (no corrections), eV per formula unit: -0.5

***

Record 8
Compound: Ce2YSn
Source: Alexandria via LeMat-Bulk
Functional: GGA-PBE
Structure: relaxed

```
Ce2YSn
1.0
3.4005 0.0000 0.0000
1.7002 2.9449 0.0000
1.7002 0.9816 12.2814
Y Sn Ce
1 1 2
direct
0.5000 0.5000 0.5000 Y
0.0000 0.0000 0.0000 Sn
0.0870 0.0870 0.7391 Ce
0.9130 0.9130 0.2609 Ce
```

Output
Offset from the most stable computed form, meV per atom: 588.6

***

Record 9
Compound: Ba2Sr6Zn
Source: Alexandria via LeMat-Bulk
Functional: GGA-PBE
Structure: relaxed

```
Ba2Sr6Zn
1.0
-1.1900 3.6097 2.3337
-5.4572 -6.3151 6.9852
10.6352 2.2822 1.8931
Ba Sr Zn
2 6 1
direct
0.0000 0.6815 0.3550 Ba
0.0000 0.3265 0.6450 Ba
0.5000 0.3534 0.3435 Sr
0.5000 0.0099 0.6565 Sr
0.0000 0.2517 0.0000 Sr
0.5000 0.6004 0.0000 Sr
0.0000 0.9874 0.2186 Sr
0.0000 0.7687 0.7814 Sr
0.5000 0.0205 0.0000 Zn
```

Output
Total energy, eV/atom: -1.68

***

Record 10
Compound: Hf6PPt3
Source: Alexandria via LeMat-Bulk
Functional: GGA-PBE
Structure: relaxed

```
Hf6PPt3
1.0
6.0356 0.0000 0.0510
0.0000 7.2006 0.0000
0.1659 0.0000 9.3951
Hf Pt P
12 6 2
direct
0.8311 0.9503 0.2449 Hf
0.8515 0.6614 0.5708 Hf
0.3311 0.5497 0.7449 Hf
0.6485 0.1614 0.9292 Hf
0.3515 0.8386 0.0708 Hf
0.8655 0.6809 0.9307 Hf
0.1485 0.3386 0.4292 Hf
0.6345 0.1809 0.5693 Hf
0.6689 0.4503 0.2551 Hf
0.3655 0.8191 0.4307 Hf
0.1345 0.3191 0.0693 Hf
0.1689 0.0497 0.7551 Hf
0.0701 0.6210 0.2408 Pt
0.5000 0.5000 0.0000 Pt
0.9299 0.3790 0.7592 Pt
0.0000 0.0000 0.5000 Pt
0.5701 0.8790 0.7408 Pt
0.4299 0.1210 0.2592 Pt
0.0000 0.0000 0.0000 P
0.5000 0.5000 0.5000 P
```

Output
Total energy, eV/atom: -9.11

***

Record 11
Compound: Ac4Co3Cu
Source: Alexandria via LeMat-Bulk
Functional: GGA-PBE
Structure: relaxed

```
Ac4Co3Cu
1.0
4.1998 0.0000 0.0000
0.0000 4.1701 0.0000
0.0000 0.0000 12.3148
Cu Ac Co
1 4 3
direct
0.5000 0.5000 0.0529 Cu
0.0000 0.0000 0.1311 Ac
0.5000 0.5000 0.3683 Ac
0.0000 0.5000 0.8646 Ac
0.5000 0.0000 0.6384 Ac
0.0000 0.5000 0.5429 Co
0.0000 0.0000 0.4633 Co
0.5000 0.0000 0.9384 Co
```

Output
Total energy, eV/atom: -5.24

***

Record 12
Compound: Tl2TcCl6
Source: Alexandria via LeMat-Bulk
Functional: GGA-PBE
Structure: relaxed

```
Tl2TcCl6
1.0
-0.7447 6.0159 1.5584
-5.0488 -1.7490 4.6014
1.6866 -1.4562 6.6901
Tc Cl Tl
1 6 2
direct
0.0000 0.0000 0.0000 Tc
0.7838 0.1601 0.6817 Cl
0.7820 0.1605 0.1605 Cl
0.7838 0.6817 0.1601 Cl
0.2162 0.3183 0.8399 Cl
0.2180 0.8395 0.8395 Cl
0.2162 0.8399 0.3183 Cl
0.8196 0.6677 0.6677 Tl
0.1804 0.3323 0.3323 Tl
```

Output
Formation energy (no corrections), eV per formula unit: -8.0
Offset from the most stable computed form, meV per atom: 15.0